# 1
A plane-wave DFT calculation with PBE-GGA was carried out for CoSb after structural relaxation.

Computed properties:
**Raw total energy**: -10.908 eV per formula unit
**Energy relative to the elements, uncorrected**: 15.45 kJ/mol of atoms
**Spin magnetization**: 0.00 μB/cell

abc: 7.4413 7.4413 7.4413
angles: 90.00 90.00 90.00
With the nearest neighbours (Å) after each atom.
Space group I-43m (No. 217)
Asymmetric unit:
Co1 0.1200 0.1200 0.1200 x8  4 Sb 2.38-2.48, 3 Co 2.53
Sb1 0.1955 0.1955 0.8045 x8  4 Co 2.38-2.48

=====

# 2
A plane-wave DFT calculation with PBE-GGA was carried out for CoSb after structural relaxation.

Computed properties:
**Raw total energy**: -11.552 eV per formula unit
**Energy relative to the elements, uncorrected**: -15.60 kJ/mol of atoms
**Spin magnetization**: 0.00 μB/cell

abc: 3.8747 3.8747 5.2002
angles: 90.00 90.00 120.00
With the nearest neighbours (Å) after each atom.
Space group P6_3/mmc (No. 194)
Asymmetric unit:
Co1 0.0000 0.0000 0.0000 x2  6 Sb 2.59, 2 Co 2.60
Sb1 0.3333 0.6667 0.2500 x2  6 Co 2.59

=====

# 3
A plane-wave DFT calculation with PBE-GGA was carried out for Co5Sb after structural relaxation.

Computed properties:
**Raw total energy**: -38.362 eV per formula unit
**Energy relative to the elements, uncorrected**: 20.74 kJ/mol of atoms
**Spin magnetization**: 7.30 μB/cell

abc: 3.0566 3.0566 8.1184
angles: 90.00 90.00 90.00
With the nearest neighbours (Å) after each atom.
Space group P4/mmm (No. 123)
Asymmetric unit:
Co1 0.0000 0.0000 0.0000 x1  10 Co 2.46-2.55
Co2 0.0000 0.0000 0.3140 x2  5 Co 2.55-2.56, 4 Sb 2.64
Co3 0.5000 0.5000 0.1460 x2  9 Co 2.37-2.56
Sb1 0.5000 0.5000 0.5000 x1  10 Co 2.64-2.87

=====

# 4
A plane-wave DFT calculation with PBE-GGA was carried out for CoSb after structural relaxation.

Computed properties:
**Raw total energy**: -11.245 eV per formula unit
**Energy relative to the elements, uncorrected**: -0.80 kJ/mol of atoms
**Spin magnetization**: 0.00 μB/cell

abc: 5.2847 6.8927 7.9740
angles: 90.00 90.00 90.00
With the nearest neighbours (Å) after each atom.
Space group P2_12_12_1 (No. 19)
Asymmetric unit:
Co1 0.0216 0.1651 0.3825 x4  4 Sb 2.42-2.51, 2 Co 2.64-2.66
Co2 0.2490 0.5068 0.3793 x4  4 Sb 2.52-2.69, 3 Co 2.64-2.76
Sb1 0.0062 0.8576 0.8590 x4  4 Co 2.46-2.69
Sb2 0.0072 0.3149 0.1040 x4  4 Co 2.42-2.53

=====

# 5
A plane-wave DFT calculation with PBE-GGA was carried out for CoSb after structural relaxation.

Computed properties:
**Raw total energy**: -10.763 eV per formula unit
**Energy relative to the elements, uncorrected**: 22.43 kJ/mol of atoms
**Spin magnetization**: 1.23 μB/cell

abc: 9.5547 9.5547 3.7089
angles: 90.00 90.00 120.00
With the nearest neighbours (Å) after each atom.
Space group P6_3/m (No. 176)
Asymmetric unit:
Co1 0.0250 0.4349 0.2500 x6  2 Co 2.41, 4 Sb 2.43-2.55
Sb1 0.1408 0.7398 0.2500 x6  4 Co 2.43-2.55

=====

# 6
A plane-wave DFT calculation with PBE-GGA was carried out for CoSb after structural relaxation.

Computed properties:
**Raw total energy**: -10.932 eV per formula unit
**Energy relative to the elements, uncorrected**: 14.27 kJ/mol of atoms
**Spin magnetization**: 1.87 μB/cell

abc: 3.1660 3.1660 7.4814
angles: 90.00 90.00 90.00
With the nearest neighbours (Å) after each atom.
Space group P4/nmm (No. 129, origin choice 2)
Asymmetric unit:
Co1 0.2500 0.2500 0.0899 x2  4 Co 2.61, 5 Sb 2.65-2.77
Sb1 0.2500 0.2500 0.7194 x2  5 Co 2.65-2.77

=====

# 7
A plane-wave DFT calculation with PBE-GGA was carried out for CoSb after structural relaxation.

Computed properties:
**Raw total energy**: -9.728 eV per formula unit
**Energy relative to the elements, uncorrected**: 72.38 kJ/mol of atoms
**Spin magnetization**: 11.22 μB/cell

abc: 6.6457 6.6457 6.6457
angles: 90.00 90.00 90.00
With the nearest neighbours (Å) after each atom.
Space group Fd-3m (No. 227, origin choice 2)
Asymmetric unit:
Co1 0.1250 0.1250 0.1250 x8  4 Co 2.88, 4 Sb 2.88
Sb1 0.1250 0.1250 0.6250 x8  4 Co 2.88, 4 Sb 2.88

=====

# 8
A plane-wave DFT calculation with PBE-GGA was carried out for CoSb after structural relaxation.

Computed properties:
**Raw total energy**: -10.803 eV per formula unit
**Energy relative to the elements, uncorrected**: 20.49 kJ/mol of atoms
**Spin magnetization**: 0.00 μB/cell

abc: 7.0401 8.2345 12.1174
angles: 90.00 90.00 90.00
With the nearest neighbours (Å) after each atom.
Space group Fddd (No. 70, origin choice 2)
Asymmetric unit:
Co1 0.1250 0.1250 0.0120 x16  4 Sb 2.42-2.49
Sb1 0.1250 0.3728 0.6250 x16  4 Co 2.42-2.49

=====

# 9
A plane-wave DFT calculation with PBE-GGA was carried out for CoSb after structural relaxation.

Computed properties:
**Raw total energy**: -10.425 eV per formula unit
**Energy relative to the elements, uncorrected**: 38.73 kJ/mol of atoms
**Spin magnetization**: 0.00 μB/cell

abc: 5.6668 5.6668 5.6668
angles: 90.00 90.00 90.00
With the nearest neighbours (Å) after each atom.
Space group F-43m (No. 216)
Asymmetric unit:
Co1 0.0000 0.0000 0.0000 x4  4 Sb 2.45
Sb1 0.2500 0.2500 0.2500 x4  4 Co 2.45

=====

# 10
A plane-wave DFT calculation with PBE-GGA was carried out for CoSb after structural relaxation.

Computed properties:
**Raw total energy**: -11.004 eV per formula unit
**Energy relative to the elements, uncorrected**: 10.83 kJ/mol of atoms
**Spin magnetization**: 3.13 μB/cell

abc: 3.5699 10.9225 5.2062
angles: 90.00 90.00 90.00
With the nearest neighbours (Å) after each atom.
Space group Imm2 (No. 44)
Asymmetric unit:
Co1 0.0000 0.0000 0.0000 x2  2 Sb 2.56-2.65, 4 Co 2.72
Co2 0.0000 0.3743 0.2081 x4  5 Sb 2.52-2.66, 3 Co 2.72-2.75
Sb1 0.0000 0.0000 0.4916 x2  6 Co 2.52-2.65
Sb2 0.0000 0.3054 0.6788 x4  4 Co 2.56-2.86

=====

# 11
A plane-wave DFT calculation with PBE-GGA was carried out for CoSb after structural relaxation.

Computed properties:
**Raw total energy**: -10.671 eV per formula unit
**Energy relative to the elements, uncorrected**: 26.87 kJ/mol of atoms
**Spin magnetization**: 0.00 μB/cell

abc: 4.3406 4.3406 5.0865
angles: 90.00 90.00 120.00
With the nearest neighbours (Å) after each atom.
Space group P6_3/mmc (No. 194)
Asymmetric unit:
Co1 0.3333 0.6667 0.2500 x2  5 Sb 2.51-2.54
Sb1 0.3333 0.6667 0.7500 x2  5 Co 2.51-2.54

=====

# 12
A plane-wave DFT calculation with PBE-GGA was carried out for Co5Sb after structural relaxation.

Computed properties:
**Raw total energy**: -39.342 eV per formula unit
**Energy relative to the elements, uncorrected**: 4.98 kJ/mol of atoms
**Spin magnetization**: 12.60 μB/cell

abc: 3.6634 10.9848 3.6563
angles: 90.00 90.00 90.00
With the nearest neighbours (Å) after each atom.
Space group Cmmm (No. 65)
Asymmetric unit:
Co1 0.0000 0.0000 0.0000 x2  4 Sb 2.59, 8 Co 2.68
Co2 0.0000 0.1785 0.5000 x4  10 Co 2.41-2.68, 2 Sb 2.68
Co3 0.0000 0.3219 0.0000 x4  10 Co 2.41-2.68, 2 Sb 2.68
Sb1 0.0000 0.5000 0.5000 x2  12 Co 2.59-2.68